No. 1
This record from the Alexandria database describes an optimized crystal structure of Ti8CN4O3. The functional is GGA-PBE.

Computed properties:
VASP energy (eV for the cell shown): -151.4
ΔE_f (raw) (eV per atom): -1.93

The structure in POSCAR format:
```
Ti8CN4O3
1.0
6.0684 0.0000 0.0000
0.0000 6.0578 -0.0104
-3.0342 -3.0323 4.2923
Ti C N O
8 1 4 3
direct
0.2485 0.7652 0.0167 Ti
0.2485 0.7652 0.4969 Ti
0.2414 0.2240 0.4827 Ti
0.7682 0.7652 0.0167 Ti
0.2318 0.2348 0.9833 Ti
0.7586 0.7760 0.5173 Ti
0.7515 0.2348 0.5031 Ti
0.7515 0.2348 0.9833 Ti
0.0000 0.5000 0.0000 C
0.5000 0.0000 0.0000 N
0.5000 0.0000 0.5000 N
0.0000 0.0000 0.0000 N
0.0000 0.0000 0.5000 N
0.5000 0.5000 0.0000 O
0.5000 0.5000 0.5000 O
0.0000 0.5000 0.5000 O
```

***

No. 2
This record from the Alexandria database describes an optimized crystal structure of TlCNO. The functional is GGA-PBE.

Computed properties:
VASP energy (eV for the cell shown): -53.6
ΔE_f (raw) (eV per atom): -0.48

The structure in POSCAR format:
```
TlCNO
1.0
-4.3228 1.0769 3.8166
2.2957 -4.9525 2.1483
3.8761 4.3831 -0.4209
Tl C N O
2 2 2 2
direct
0.2186 0.0000 0.2186 Tl
0.7186 0.5000 0.2186 Tl
0.0108 0.2534 0.7642 C
0.5108 0.7466 0.7575 C
0.1488 0.1271 0.7758 N
0.6488 0.8729 0.0217 N
0.8718 0.3829 0.7548 O
0.3718 0.6171 0.4889 O
```

***

No. 3
This record from the Alexandria database describes an optimized crystal structure of TlCNO2. The functional is GGA-PBE.

Computed properties:
VASP energy (eV for the cell shown): -17.5
ΔE_f (raw) (eV per atom): 2.47

The structure in POSCAR format:
```
TlCNO2
1.0
-2.0339 2.3240 3.0354
-3.4488 -2.5988 -0.3212
1.6905 -2.6324 3.1482
Tl C O N
1 1 2 1
direct
0.0000 0.0000 0.0000 Tl
0.5000 0.5000 0.5000 C
0.0000 0.5000 0.0000 O
0.5000 0.0000 0.0000 O
0.0000 0.0000 0.5000 N
```

***

No. 4
This record from the Alexandria database describes an optimized crystal structure of TlCNO2. The functional is GGA-PBE.

Computed properties:
VASP energy (eV for the cell shown): -25.4
ΔE_f (raw) (eV per atom): 0.89

The structure in POSCAR format:
```
TlCNO2
1.0
-4.5526 -0.7898 -0.4280
0.4875 -0.3151 -4.6039
0.4135 -2.4997 0.2149
Tl C O N
1 1 2 1
direct
0.5000 0.5000 0.5000 Tl
0.0000 0.0000 0.0000 C
0.0000 0.5000 0.0000 O
0.5000 0.0000 0.0000 O
0.0000 0.0000 0.5000 N
```

***

> Among the records above, which one has the lowest VASP energy?

Ti8CN4O3

***

> Which of these has the lowest ΔE_f (raw)?

Ti8CN4O3

***

Please write out number 2 again, unchanged.
This record from the Alexandria database describes an optimized crystal structure of TlCNO. The functional is GGA-PBE.

Computed properties:
VASP energy (eV for the cell shown): -53.6
ΔE_f (raw) (eV per atom): -0.48

The structure in POSCAR format:
```
TlCNO
1.0
-4.3228 1.0769 3.8166
2.2957 -4.9525 2.1483
3.8761 4.3831 -0.4209
Tl C N O
2 2 2 2
direct
0.2186 0.0000 0.2186 Tl
0.7186 0.5000 0.2186 Tl
0.0108 0.2534 0.7642 C
0.5108 0.7466 0.7575 C
0.1488 0.1271 0.7758 N
0.6488 0.8729 0.0217 N
0.8718 0.3829 0.7548 O
0.3718 0.6171 0.4889 O
```